VASP calculation (PBE) on a relaxed structure of Hf3Si23.

The structure in CIF format:
```
data_Hf3Si23
_space_group_name_H-M_alt 'P m -3 n'
_space_group_IT_number 223
_space_group_name_Hall '-P 4n 2 3'
_cell_length_a 10.034
_cell_length_b 10.034
_cell_length_c 10.034
_cell_angle_alpha 90.00
_cell_angle_beta 90.00
_cell_angle_gamma 90.00
loop_
_atom_site_label
_atom_site_type_symbol
_atom_site_fract_x
_atom_site_fract_y
_atom_site_fract_z
Hf1 Hf 0.000 0.250 0.500
Si1 Si 0.000 0.312 0.116
Si2 Si 0.000 0.500 0.250
Si3 Si 0.184 0.184 0.184
```


VASP calculation (PBE) on a relaxed structure of HfSi.

The structure in CIF format:
```
data_HfSi
_space_group_name_H-M_alt 'F d d d'
_space_group_IT_number 70
_cell_length_a 6.575
_cell_length_b 8.248
_cell_length_c 10.860
_cell_angle_alpha 90.00
_cell_angle_beta 90.00
_cell_angle_gamma 90.00
loop_
_space_group_symop_operation_xyz
'x,y,z'
'-x,-y,-z'
'-x+1/4,-y+1/4,z'
'x+1/4,y+1/4,-z'
'x,-y+1/4,-z+1/4'
'-x,y+1/4,z+1/4'
'-x+1/4,y,-z+1/4'
'x+1/4,-y,z+1/4'
'x,y+1/2,z+1/2'
'-x,-y+1/2,-z+1/2'
'-x+1/4,-y+3/4,z+1/2'
'x+1/4,y+3/4,-z+1/2'
'x,-y+3/4,-z+3/4'
'-x,y+3/4,z+3/4'
'-x+1/4,y+1/2,-z+3/4'
'x+1/4,-y+1/2,z+3/4'
'x+1/2,y,z+1/2'
'-x+1/2,-y,-z+1/2'
'-x+3/4,-y+1/4,z+1/2'
'x+3/4,y+1/4,-z+1/2'
'x+1/2,-y+1/4,-z+3/4'
'-x+1/2,y+1/4,z+3/4'
'-x+3/4,y,-z+3/4'
'x+3/4,-y,z+3/4'
'x+1/2,y+1/2,z'
'-x+1/2,-y+1/2,-z'
'-x+3/4,-y+3/4,z'
'x+3/4,y+3/4,-z'
'x+1/2,-y+3/4,-z+1/4'
'-x+1/2,y+3/4,z+1/4'
'-x+3/4,y+1/2,-z+1/4'
'x+3/4,-y+1/2,z+1/4'
loop_
_atom_site_label
_atom_site_type_symbol
_atom_site_fract_x
_atom_site_fract_y
_atom_site_fract_z
Hf1 Hf 0.125 0.330 0.125
Si1 Si 0.062 0.375 0.875
```


In the order shown, the computed energy relative to the elements, uncorrected values come out to 355; -559 meV/atom.
In the order shown, the computed calculated total energy values come out to -5.59; -8.25 eV/atom.